--- w ---
CoTe2I | the Alexandria database | PBE | relaxed; DOS at the Fermi energy = 4.478 states/eV/cell; space group = Fm-3m, No. 225
1.0
0.0000 3.6956 3.6956
3.6956 0.0000 3.6956
3.6956 3.6956 0.0000
Co Te I
1 2 1
Direct
0.0000 0.0000 0.0000
0.2500 0.2500 0.2500
0.7500 0.7500 0.7500
0.5000 0.5000 0.5000

---

--- x ---
CoTe2I | the Alexandria database | PBE | relaxed; DOS at the Fermi energy = 5.247 states/eV/cell; space group = P3m1, No. 156
1.0
3.4170 0.0000 0.0000
-1.7085 2.9592 0.0000
0.0000 0.0000 11.9146
Co Te I
1 2 1
Direct
0.0000 0.0000 0.0000
0.0000 0.0000 0.2112
0.3333 0.6667 0.8788
0.6667 0.3333 0.5635

---

--- y ---
CoTe2I | the Alexandria database | PBE | relaxed; DOS at the Fermi energy = 7.646 states/eV/cell; space group = Pnna, No. 52
1.0
6.6529 0.0000 0.0000
0.0000 5.2400 0.0000
0.0000 0.0000 12.0967
Co Te I
4 8 4
Direct
0.2500 0.0000 0.0866
0.2500 0.5000 0.4134
0.7500 0.0000 0.9134
0.7500 0.5000 0.5866
0.0711 0.2395 0.5621
0.0711 0.2605 0.9379
0.4289 0.7395 0.9379
0.4289 0.7605 0.5621
0.5711 0.2395 0.4379
0.5711 0.2605 0.0621
0.9289 0.7395 0.0621
0.9289 0.7605 0.4379
0.0583 0.2500 0.2500
0.4417 0.7500 0.2500
0.5583 0.2500 0.7500
0.9417 0.7500 0.7500

---

Ranked by calculated energy, most stable first: y, x, w.

---

--- w ---
CoTe2I | the Alexandria database | PBE | relaxed; DOS at the Fermi energy = 8.800 states/eV/cell; space group = P2_1/m, No. 11
1.0
5.6993 0.0000 0.0000
0.0000 3.8881 0.0000
-0.8055 0.0000 9.7227
Co Te I
2 4 2
Direct
0.0307 0.2500 0.3267
0.9693 0.7500 0.6733
0.2088 0.2500 0.5774
0.2744 0.7500 0.2545
0.7256 0.2500 0.7455
0.7912 0.7500 0.4226
0.2434 0.7500 0.8989
0.7566 0.2500 0.1011

---

--- x ---
CoTe2I | the Alexandria database | PBE | relaxed; DOS at the Fermi energy = 5.977 states/eV/cell; space group = Cmcm, No. 63
1.0
1.8241 -13.3245 0.0000
1.8241 13.3245 0.0000
0.0000 0.0000 5.0653
Co Te I
2 4 2
Direct
0.0577 0.9423 0.7500
0.9423 0.0577 0.2500
0.0375 0.9625 0.2500
0.1491 0.8509 0.7500
0.8509 0.1491 0.2500
0.9625 0.0375 0.7500
0.3281 0.6719 0.7500
0.6719 0.3281 0.2500

---

--- y ---
CoTe2I | the Alexandria database | PBE | relaxed; DOS at the Fermi energy = 4.005 states/eV/cell; space group = Pnma, No. 62
1.0
7.5667 0.0000 0.0000
0.0000 4.5858 0.0000
0.0000 0.0000 12.7872
Co Te I
4 8 4
Direct
0.0262 0.2500 0.1313
0.4738 0.7500 0.6313
0.5262 0.2500 0.3687
0.9738 0.7500 0.8687
0.1113 0.7500 0.0575
0.2476 0.2500 0.2727
0.2524 0.7500 0.7727
0.3887 0.2500 0.5575
0.6113 0.7500 0.4425
0.7476 0.2500 0.2273
0.7524 0.7500 0.7273
0.8887 0.2500 0.9425
0.0510 0.7500 0.3984
0.4490 0.2500 0.8984
0.5510 0.7500 0.1016
0.9490 0.2500 0.6016

---

--- z ---
CoTe2I | the Alexandria database | PBE | relaxed; DOS at the Fermi energy = 1.317 states/eV/cell; space group = P2_1/m, No. 11
1.0
3.9834 0.0000 0.0000
0.0000 6.7388 0.0000
-0.7725 0.0000 9.9946
Co Te I
2 4 2
Direct
0.2333 0.2500 0.4142
0.7667 0.7500 0.5858
0.2734 0.5031 0.6205
0.2734 0.9969 0.6205
0.7266 0.0031 0.3795
0.7266 0.4969 0.3795
0.1826 0.2500 0.1448
0.8174 0.7500 0.8552

---

Ranked by calculated energy, most stable first: w, z, y, x.

---

--- w ---
CoTe2I | the Alexandria database | PBE | relaxed; DOS at the Fermi energy = 0.359 states/eV/cell; space group = I-42d, No. 122
1.0
-3.5358 3.5358 5.0692
3.5358 -3.5358 5.0692
3.5358 3.5358 -5.0692
Co Te I
2 4 2
Direct
0.0000 0.0000 0.0000
0.7500 0.2500 0.5000
0.0177 0.6250 0.8927
0.3750 0.2677 0.3927
0.7323 0.1250 0.1073
0.8750 0.9823 0.6073
0.2500 0.7500 0.5000
0.5000 0.5000 0.0000

---

--- x ---
CoTe2I | the Alexandria database | PBE | relaxed; DOS at the Fermi energy = 8.342 states/eV/cell; space group = C2/c, No. 15
1.0
4.1742 -6.1773 0.0000
4.1742 6.1773 0.0000
-0.8611 0.0000 5.1441
Co Te I
2 4 2
Direct
0.0068 0.9932 0.7500
0.9932 0.0068 0.2500
0.0525 0.2880 0.5611
0.2880 0.0525 0.0611
0.7120 0.9475 0.9389
0.9475 0.7120 0.4389
0.3430 0.6570 0.2500
0.6570 0.3430 0.7500

---

Ranked by calculated energy, most stable first: x, w.

---

--- w ---
CoTe2I | the Alexandria database | PBE | relaxed; DOS at the Fermi energy = 5.330 states/eV/cell; space group = Cmcm, No. 63
1.0
1.7948 -13.8738 0.0000
1.7948 13.8738 0.0000
0.0000 0.0000 5.1491
Co Te I
2 4 2
Direct
0.1348 0.8652 0.7500
0.8652 0.1348 0.2500
0.3022 0.6978 0.2500
0.3550 0.6450 0.7500
0.6450 0.3550 0.2500
0.6978 0.3022 0.7500
0.4353 0.5647 0.2500
0.5647 0.4353 0.7500

---

--- x ---
CoTe2I | the Alexandria database | PBE | relaxed; DOS at the Fermi energy = 1.330 states/eV/cell; space group = Imma, No. 74
1.0
-3.3191 3.9114 4.4871
3.3191 -3.9114 4.4871
3.3191 3.9114 -4.4871
Co Te I
2 4 2
Direct
0.5000 0.0000 0.0000
0.5000 0.5000 0.5000
0.1731 0.1577 0.0154
0.3577 0.8423 0.5154
0.6423 0.1577 0.4846
0.8269 0.8423 0.9846
0.2792 0.5292 0.7500
0.7208 0.4708 0.2500

---

--- y ---
CoTe2I | the Alexandria database | PBE | relaxed; DOS at the Fermi energy = 3.821 states/eV/cell; space group = P-1, No. 2
1.0
3.7579 0.0000 0.0000
1.8697 6.4776 0.0000
0.0193 0.8526 10.9177
Co Te I
2 4 2
Direct
0.1645 0.1728 0.3787
0.8355 0.8272 0.6213
0.2012 0.0976 0.6064
0.4676 0.5619 0.6244
0.5324 0.4381 0.3756
0.7988 0.9024 0.3936
0.1506 0.2032 0.1419
0.8494 0.7968 0.8581

---

Ranked by calculated energy, most stable first: y, x, w.

---

--- w ---
CoTe2I | the Alexandria database | PBE | relaxed; DOS at the Fermi energy = 3.056 states/eV/cell; space group = P4/mmm, No. 123
1.0
4.3925 0.0000 0.0000
0.0000 4.3925 0.0000
0.0000 0.0000 5.9029
Co Te I
1 2 1
Direct
0.0000 0.0000 0.0000
0.0000 0.0000 0.5000
0.5000 0.5000 0.0000
0.5000 0.5000 0.5000

---

--- x ---
CoTe2I | the Alexandria database | PBE | relaxed; DOS at the Fermi energy = 0.000 states/eV/cell; space group = Pna2_1, No. 33
1.0
6.8182 0.0000 0.0000
0.0000 9.8028 0.0000
0.0000 0.0000 6.8184
Co Te I
4 8 4
Direct
0.0185 0.1506 0.0000
0.4815 0.6506 0.5000
0.5185 0.3494 0.0000
0.9815 0.8494 0.5000
0.1813 0.9833 0.7527
0.1864 0.6883 0.7218
0.3136 0.1883 0.2218
0.3187 0.4833 0.2527
0.6813 0.5167 0.7527
0.6864 0.8117 0.7218
0.8136 0.3117 0.2218
0.8187 0.0167 0.2527
0.1971 0.3310 0.7818
0.3029 0.8310 0.2818
0.6971 0.1690 0.7818
0.8029 0.6690 0.2818

---

--- y ---
CoTe2I | the Alexandria database | PBE | relaxed; DOS at the Fermi energy = 7.058 states/eV/cell; space group = C2/c, No. 15
1.0
4.4774 -4.7994 0.0000
4.4774 4.7994 0.0000
-2.3026 0.0000 5.6102
Co Te I
2 4 2
Direct
0.0403 0.9597 0.7500
0.9597 0.0403 0.2500
0.1276 0.2900 0.0753
0.2900 0.1276 0.5753
0.7100 0.8724 0.4247
0.8724 0.7100 0.9247
0.3180 0.6820 0.7500
0.6820 0.3180 0.2500

---

--- z ---
CoTe2I | the Alexandria database | PBE | relaxed; DOS at the Fermi energy = 3.370 states/eV/cell; space group = R3m, No. 160
1.0
1.8303 1.0567 9.3779
-1.8303 1.0567 9.3779
0.0000 -2.1135 9.3779
Co Te I
1 2 1
Direct
0.0000 0.0000 0.0000
0.2750 0.2750 0.2750
0.8511 0.8511 0.8511
0.3908 0.3908 0.3908

---

Ranked by calculated energy, most stable first: x, y, z, w.

---

--- w ---
CoTe2I | the Alexandria database | PBE | relaxed; DOS at the Fermi energy = 0.000 states/eV/cell; space group = P-1, No. 2
1.0
6.3542 0.0000 0.0000
3.1468 6.0418 0.0000
1.0263 3.0575 6.5213
Co Te I
2 4 2
Direct
0.1553 0.1903 0.9997
0.8447 0.8097 0.0003
0.2111 0.7475 0.1664
0.4574 0.9173 0.8322
0.5426 0.0827 0.1678
0.7889 0.2525 0.8336
0.0759 0.6348 0.7346
0.9241 0.3652 0.2654

---

--- x ---
CoTe2I | the Alexandria database | PBE | relaxed; DOS at the Fermi energy = 4.830 states/eV/cell; space group = I4_1/amd, No. 141
1.0
-2.9656 2.9656 6.2805
2.9656 -2.9656 6.2805
2.9656 2.9656 -6.2805
Co Te I
2 4 2
Direct
0.3750 0.6250 0.7500
0.6250 0.3750 0.2500
0.1745 0.4245 0.7500
0.4245 0.1745 0.2500
0.5755 0.8255 0.7500
0.8255 0.5755 0.2500
0.1250 0.8750 0.2500
0.8750 0.1250 0.7500

---

Ranked by calculated energy, most stable first: w, x.